# 1
{
  "formula": "KSrMgTl",
  "functional": "GGA-PBE",
  "state": "relaxed",
  "energy_ev_per_atom": -1.73,
  "magnetic_moment_mub_per_fu": 0.0,
  "lattice": [[8.016, 0.000, 0.000], [0.000, 8.016, 0.000], [0.000, 0.000, 8.016]],
  "species": ["K", "K", "K", "K", "Sr", "Sr", "Sr", "Sr", "Mg", "Mg", "Mg", "Mg", "Tl", "Tl", "Tl", "Tl"],
  "frac_coords": [[0.000, 0.000, 0.000], [0.000, 0.500, 0.500], [0.500, 0.000, 0.500], [0.500, 0.500, 0.000], [0.250, 0.250, 0.750], [0.250, 0.750, 0.250], [0.750, 0.250, 0.250], [0.750, 0.750, 0.750], [0.250, 0.250, 0.250], [0.250, 0.750, 0.750], [0.750, 0.250, 0.750], [0.750, 0.750, 0.250], [0.000, 0.000, 0.500], [0.000, 0.500, 0.000], [0.500, 0.000, 0.000], [0.500, 0.500, 0.500]]
}

# 2
{
  "formula": "KSr2MgZn",
  "functional": "GGA-PBE",
  "state": "relaxed",
  "energy_ev_per_atom": -1.41,
  "magnetic_moment_mub_per_fu": 0.0,
  "lattice": [[6.324, 0.000, 0.000], [0.000, 6.324, 0.000], [0.000, 0.000, 5.348]],
  "species": ["K", "Sr", "Sr", "Mg", "Zn"],
  "frac_coords": [[0.000, 0.000, 0.000], [0.000, 0.500, 0.500], [0.500, 0.000, 0.500], [0.500, 0.500, 0.000], [0.500, 0.500, 0.500]]
}

# 3
{
  "formula": "KSrMgZn2",
  "functional": "GGA-PBE",
  "state": "relaxed",
  "energy_ev_per_atom": -0.66,
  "magnetic_moment_mub_per_fu": 0.0,
  "lattice": [[6.131, 0.000, 0.000], [0.000, 6.131, 0.000], [0.000, 0.000, 7.283]],
  "species": ["K", "Sr", "Mg", "Zn", "Zn"],
  "frac_coords": [[0.000, 0.000, 0.000], [0.000, 0.000, 0.500], [0.500, 0.500, 0.000], [0.000, 0.500, 0.500], [0.500, 0.000, 0.500]]
}

# 4
{
  "formula": "KMg2Ta",
  "functional": "GGA-PBE",
  "state": "relaxed",
  "energy_ev_per_atom": -3.30,
  "magnetic_moment_mub_per_fu": 0.0,
  "e_above_lowest_polymorph_ev_per_atom": 0.2877,
  "lattice": [[11.940, 0.000, 0.000], [0.000, 2.847, 0.000], [-1.480, 0.000, 5.695]],
  "species": ["K", "K", "Mg", "Mg", "Mg", "Mg", "Ta", "Ta"],
  "frac_coords": [[0.000, 0.000, 0.000], [0.500, 0.500, 0.000], [0.021, 0.500, 0.498], [0.244, 0.000, 0.885], [0.521, 0.000, 0.498], [0.744, 0.500, 0.885], [0.281, 0.500, 0.415], [0.781, 0.000, 0.415]]
}

# 5
{
  "formula": "KMg2Ta",
  "functional": "GGA-PBE",
  "state": "relaxed",
  "energy_ev_per_atom": -3.01,
  "magnetic_moment_mub_per_fu": 1.1,
  "e_above_lowest_polymorph_ev_per_atom": 0.5769,
  "lattice": [[2.894, 0.000, 0.000], [0.000, 5.846, 0.000], [0.000, 0.000, 6.154]],
  "species": ["K", "Mg", "Mg", "Ta"],
  "frac_coords": [[0.000, 0.000, 0.000], [0.000, 0.500, 0.500], [0.500, 0.500, 0.000], [0.500, 0.000, 0.500]]
}

# 6
{
  "formula": "KMgTa",
  "functional": "GGA-PBE",
  "state": "relaxed",
  "energy_ev_per_atom": -4.27,
  "magnetic_moment_mub_per_fu": 0.0,
  "e_above_lowest_polymorph_ev_per_atom": 0.2027,
  "lattice": [[25.053, 0.000, 0.000], [0.000, 4.968, 0.000], [-0.030, 0.000, 3.348]],
  "species": ["K", "K", "K", "K", "Mg", "Mg", "Mg", "Mg", "Ta", "Ta", "Ta", "Ta"],
  "frac_coords": [[0.172, 0.000, 0.261], [0.328, 0.500, 0.739], [0.672, 0.500, 0.261], [0.828, 0.000, 0.739], [0.051, 0.500, 0.253], [0.449, 0.000, 0.747], [0.551, 0.000, 0.253], [0.949, 0.500, 0.747], [0.039, 0.000, 0.752], [0.461, 0.500, 0.248], [0.539, 0.500, 0.752], [0.961, 0.000, 0.248]]
}